{
  "formula": "LiReOs2",
  "functional": "PBE",
  "state": "relaxed",
  "ef_ev_per_atom": 0.36,
  "space_group": "I-4m2",
  "lattice_angstrom": [[-2.9716, -1.9858, -3.1698], [2.1119, -1.0320, -4.1589], [1.0555, -0.8811, 4.5751]],
  "species": ["Li", "Os", "Os", "Re"],
  "frac_coords": [[0.7500, 0.2500, 0.5000], [0.0000, 0.0000, 0.0000], [0.2500, 0.7500, 0.5000], [0.5000, 0.5000, 0.0000]]
}